[1]
# Tb3TmSi4

An optimized crystal structure of Tb3TmSi4 (PBE-GGA, the Alexandria database).

```
Tb3TmSi4
1.0
-0.156 -4.004 -0.198
1.063 0.261 -6.116
7.203 1.509 4.473
Si Tm Tb
4 1 3
Direct
0.369 0.556 0.738
0.369 0.182 0.738
0.631 0.444 0.262
0.631 0.818 0.262
0.500 0.000 0.000
0.806 0.806 0.612
0.000 0.500 0.000
0.194 0.194 0.388
```

## Properties
As for the formation energy without anion corrections: -4.59 eV per formula unit. Its symmetry is Immm (71). For the total moment, the calculation gives 0.0 μB/cell.



[2]
# Tb3Tm3Si4

An optimized crystal structure of Tb3Tm3Si4 (PBE-GGA, the Alexandria database).

```
Tb3Tm3Si4
1.0
-2.099 -0.973 3.531
-3.388 -5.568 -3.548
5.463 -4.617 1.976
Tm Si Tb
3 4 3
Direct
0.000 0.501 0.000
0.500 0.176 0.824
0.000 0.000 0.499
0.000 0.380 0.620
0.000 0.119 0.115
0.000 0.616 0.384
0.000 0.885 0.881
0.500 0.676 0.677
0.500 0.323 0.324
0.500 0.825 0.175
```

## Properties
As for the formation energy without anion corrections: -7.20 eV per formula unit. Its symmetry is Amm2 (38). For the total moment, the calculation gives 0.0 μB/cell.



[3]
# TbTmSi2

An optimized crystal structure of TbTmSi2 (PBE-GGA, the Alexandria database).

```
TbTmSi2
1.0
4.557 0.000 0.000
2.279 3.947 0.000
2.279 1.316 5.053
Si Tm Tb
2 1 1
Direct
0.246 0.246 0.262
0.754 0.754 0.738
0.500 0.500 0.500
0.000 0.000 0.000
```

## Properties
As for the formation energy without anion corrections: -2.06 eV per formula unit. Its symmetry is R-3m (166). The value obtained for the energy above the most stable polymorph in this dataset is 0.303 eV/atom. For the total moment, the calculation gives 0.0 μB/cell.



[4]
# Tb2TmSi

An optimized crystal structure of Tb2TmSi (PBE-GGA, the Alexandria database).

```
Tb2TmSi
1.0
3.572 0.000 0.000
1.786 3.093 0.000
1.786 1.031 10.740
Tb Si Tm
2 1 1
Direct
0.894 0.894 0.318
0.106 0.106 0.682
0.500 0.500 0.500
0.000 0.000 0.000
```

## Properties
As for the formation energy without anion corrections: 0.18 eV per formula unit. Its symmetry is R-3m (166). For the total moment, the calculation gives 0.7 μB/cell.